Entry 1:
A plane-wave DFT calculation with PBE-GGA was carried out for a geometry-optimized Y2Cd6In5 structure.

Total DFT energy (no corrections) = -2.2055 eV/atom
Energy of formation = 0.26 eV per atom

The structure in extended XYZ format:
```
13
Lattice="8.508 0.000 2.752 3.809 7.608 2.752 1.947 1.202 8.510" Properties=species:S:1:pos:R:3 pbc="T T T"
Cd 5.614 6.863 7.007
Cd 8.362 6.863 7.897
Cd 8.650 1.947 7.007
Cd 4.383 4.405 6.118
Cd 9.881 4.405 7.897
Cd 5.901 1.947 6.118
In 10.485 6.476 11.169
In 3.779 2.334 2.846
In 6.645 4.104 8.513
In 0.000 0.000 0.000
In 7.619 4.706 5.502
Y 2.863 1.769 5.675
Y 11.400 7.041 8.340
```

Entry 2:
A plane-wave DFT calculation with PBE-GGA was carried out for a geometry-optimized Sr4Mg2H structure.

Total DFT energy (no corrections) = -1.9516 eV/atom

The structure in extended XYZ format:
```
7
Lattice="5.233 0.000 0.000 0.000 5.233 0.000 -2.617 -2.617 9.483" Properties=species:S:1:pos:R:3 pbc="T T T"
Sr 0.000 0.000 3.369
Sr 2.617 2.617 6.115
Sr 0.000 2.617 0.000
Sr 2.617 0.000 0.000
Mg 2.617 2.617 2.496
Mg 0.000 0.000 6.987
H 0.000 0.000 0.000
```

- total DFT energy (no corrections) of number 2 (Sr4Mg2H)?
  -1.9516 eV/atom